1.
The following is a GGA-PBEsol calculation of an optimized crystal structure of LiCu3Ag, from the Alexandria database.

Results
DOS(E_F): 1.3 states/eV per cell
energy relative to the elements: 0.6683 eV per atom
M_tot: 0.000 μB per formula unit
symmetry: Pm-3m (221)
mass density: 7.72 Mg/m³
final energy: -14.9 eV per cell

Geometry as POSCAR:
```
LiCu3Ag
1.0
4.0348 0.0000 0.0000
0.0000 4.0348 0.0000
0.0000 0.0000 4.0348
Li Cu Ag
1 3 1
Direct
0.0000 0.0000 0.0000
0.0000 0.0000 0.5000
0.0000 0.5000 0.0000
0.5000 0.0000 0.0000
0.5000 0.5000 0.5000
```

=====

2.
The following is a GGA-PBEsol calculation of an optimized crystal structure of BaLa2W, from the Alexandria database.

Results
DOS(E_F): 5.5 states/eV per cell
energy relative to the elements: 0.7296 eV per atom
ΔE to the lowest computed polymorph: 0 meV per atom
M_tot: 0.002 μB per formula unit
symmetry: P4mm (99)
mass density: 7.74 Mg/m³
final energy: -23.7 eV per cell

Geometry as POSCAR:
```
BaLa2W
1.0
3.8891 0.0000 0.0000
0.0000 3.8891 0.0000
0.0000 0.0000 8.4971
Ba La W
1 2 1
Direct
0.0000 0.0000 0.0000
0.0000 0.0000 0.6010
0.5000 0.5000 0.3788
0.5000 0.5000 0.7425
```

=====

3.
The following is a GGA-PBEsol calculation of an optimized crystal structure of MgAl2RhW, from the Alexandria database.

Results
DOS(E_F): 4.1 states/eV per cell
energy relative to the elements: 0.6155 eV per atom
M_tot: 0.002 μB per formula unit
symmetry: P4/mmm (123)
mass density: 6.00 Mg/m³
final energy: -28.8 eV per cell

Geometry as POSCAR:
```
MgAl2RhW
1.0
4.5725 0.0000 0.0000
0.0000 4.5725 0.0000
0.0000 0.0000 4.8353
Mg Al Rh W
1 2 1 1
Direct
0.0000 0.0000 0.0000
0.0000 0.5000 0.5000
0.5000 0.0000 0.5000
0.5000 0.5000 0.5000
0.5000 0.5000 0.0000
```

=====

4.
The following is a GGA-PBEsol calculation of an optimized crystal structure of SrZrZn2, from the Alexandria database.

Results
DOS(E_F): 2.8 states/eV per cell
energy relative to the elements: -0.1335 eV per atom
M_tot: 0.000 μB per formula unit
symmetry: P4/mmm (123)
mass density: 5.89 Mg/m³
final energy: -14.6 eV per cell

Geometry as POSCAR:
```
SrZrZn2
1.0
3.4586 0.0000 0.0000
0.0000 3.4586 0.0000
0.0000 0.0000 7.2978
Sr Zr Zn
1 1 2
Direct
0.0000 0.0000 0.0000
0.0000 0.0000 0.5000
0.5000 0.5000 0.3012
0.5000 0.5000 0.6988
```

=====

5.
The following is a GGA-PBEsol calculation of an optimized crystal structure of HgGe3Au, from the Alexandria database.

Results
DOS(E_F): 2.4 states/eV per cell
energy relative to the elements: 1.0366 eV per atom
M_tot: 0.000 μB per formula unit
symmetry: Pm-3m (221)
mass density: 7.86 Mg/m³
final energy: -14.1 eV per cell

Geometry as POSCAR:
```
HgGe3Au
1.0
5.0654 0.0000 0.0000
0.0000 5.0654 0.0000
0.0000 0.0000 5.0654
Hg Ge Au
1 3 1
Direct
0.0000 0.0000 0.0000
0.0000 0.0000 0.5000
0.0000 0.5000 0.0000
0.5000 0.0000 0.0000
0.5000 0.5000 0.5000
```

=====

6.
The following is a GGA-PBEsol calculation of an optimized crystal structure of AgH5S2O9, from the Alexandria database.

Results
DOS(E_F): 0.0 states/eV per cell
M_tot: 0.000 μB per formula unit
symmetry: P2_1/c (14)
mass density: 2.97 Mg/m³
final energy: -379.0 eV per cell

Geometry as POSCAR:
```
AgH5S2O9
1.0
7.1720 0.0000 0.0000
0.0000 13.0122 0.0000
-2.4394 0.0000 7.6964
Ag H S O
4 20 8 36
Direct
0.1030 0.0377 0.2791
0.1030 0.4623 0.7791
0.8970 0.5377 0.2209
0.8970 0.9623 0.7209
0.1428 0.7162 0.9428
0.1428 0.7838 0.4428
0.3149 0.2292 0.5392
0.3149 0.2708 0.0392
0.3674 0.5701 0.4853
0.3674 0.9299 0.9853
0.4545 0.1956 0.2055
0.4545 0.3044 0.7055
0.4716 0.1743 0.7195
0.4716 0.3257 0.2195
0.5284 0.6743 0.7805
0.5284 0.8257 0.2805
0.5455 0.6956 0.2945
0.5455 0.8044 0.7945
0.6326 0.0701 0.0147
0.6326 0.4299 0.5147
0.6851 0.7292 0.9608
0.6851 0.7708 0.4608
0.8572 0.2162 0.5572
0.8572 0.2838 0.0572
0.0088 0.6949 0.6084
0.0088 0.8051 0.1084
0.3899 0.5166 0.2351
0.3899 0.9834 0.7351
0.6101 0.0166 0.2649
0.6101 0.4834 0.7649
0.9912 0.1949 0.8916
0.9912 0.3051 0.3916
0.0814 0.1140 0.0137
0.0814 0.3860 0.5137
0.0985 0.6530 0.7849
0.0985 0.8470 0.2849
0.1324 0.2217 0.3912
0.1324 0.2783 0.8912
0.1834 0.7432 0.5610
0.1834 0.7568 0.0610
0.2371 0.0145 0.5815
0.2371 0.4855 0.0815
0.2814 0.5666 0.3556
0.2814 0.9334 0.8556
0.4471 0.2364 0.6380
0.4471 0.2636 0.1380
0.4709 0.0921 0.2940
0.4709 0.4079 0.7940
0.4984 0.0746 0.8312
0.4984 0.4254 0.3312
0.5016 0.5746 0.6688
0.5016 0.9254 0.1688
0.5291 0.5921 0.2060
0.5291 0.9079 0.7060
0.5529 0.7364 0.8620
0.5529 0.7636 0.3620
0.7186 0.0666 0.1444
0.7186 0.4334 0.6444
0.7629 0.5145 0.9185
0.7629 0.9855 0.4185
0.8166 0.2432 0.9390
0.8166 0.2568 0.4390
0.8676 0.7217 0.1088
0.8676 0.7783 0.6088
0.9015 0.1530 0.7151
0.9015 0.3470 0.2151
0.9186 0.6140 0.4863
0.9186 0.8860 0.9863
```

=====

7.
The following is a GGA-PBEsol calculation of an optimized crystal structure of Ba2CoPF, from the Alexandria database.

Results
DOS(E_F): 9.0 states/eV per cell
raw formation energy: -0.09 eV/atom
M_tot: 1.234 μB per formula unit
symmetry: P4/mmm (123)
mass density: 4.13 Mg/m³
final energy: -20.2 eV per cell

Geometry as POSCAR:
```
Ba2CoPF
1.0
6.1188 0.0000 0.0000
0.0000 6.1188 0.0000
0.0000 0.0000 4.1170
Ba Co P F
2 1 1 1
Direct
0.0000 0.5000 0.0000
0.5000 0.0000 0.0000
0.0000 0.0000 0.5000
0.5000 0.5000 0.0000
0.5000 0.5000 0.5000
```

=====

8.
The following is a GGA-PBEsol calculation of an optimized crystal structure of Mg3SnW, from the Alexandria database.

Results
DOS(E_F): 2.4 states/eV per cell
energy relative to the elements: 1.4762 eV per atom
M_tot: 4.183 μB per formula unit
symmetry: Pm-3m (221)
mass density: 4.44 Mg/m³
final energy: -15.8 eV per cell

Geometry as POSCAR:
```
Mg3SnW
1.0
5.1965 0.0000 0.0000
0.0000 5.1965 0.0000
0.0000 0.0000 5.1965
Mg Sn W
3 1 1
Direct
0.0000 0.0000 0.5000
0.0000 0.5000 0.0000
0.5000 0.0000 0.0000
0.0000 0.0000 0.0000
0.5000 0.5000 0.5000
```

=====

9.
The following is a GGA-PBEsol calculation of an optimized crystal structure of AgSb, from the Alexandria database.

Results
DOS(E_F): 1.2 states/eV per cell
ΔE to the lowest computed polymorph: 37 meV per atom
raw formation energy: 0.09 eV/atom
M_tot: 0.000 μB per formula unit
symmetry: P4/nmm (129)
mass density: 8.79 Mg/m³
final energy: -15.4 eV per cell

Geometry as POSCAR:
```
AgSb
1.0
3.1057 0.0000 0.0000
0.0000 3.1057 0.0000
0.0000 0.0000 8.9939
Ag Sb
2 2
Direct
0.2500 0.2500 0.1028
0.7500 0.7500 0.8972
0.2500 0.2500 0.6681
0.7500 0.7500 0.3319
```

=====

10.
The following is a GGA-PBEsol calculation of an optimized crystal structure of ReAgRh2, from the Alexandria database.

Results
DOS(E_F): 5.0 states/eV per cell
energy relative to the elements: 0.3576 eV per atom
ΔE to the lowest computed polymorph: 110 meV per atom
M_tot: 0.002 μB per formula unit
symmetry: Cmm2 (35)
mass density: 14.11 Mg/m³
final energy: -31.5 eV per cell

Geometry as POSCAR:
```
ReAgRh2
1.0
1.3697 -2.2895 0.0000
1.3697 2.2895 0.0000
0.0000 0.0000 9.3771
Re Ag Rh
1 1 2
Direct
0.0000 0.0000 0.0000
0.5000 0.5000 0.2666
0.0000 0.0000 0.5215
0.5000 0.5000 0.7648
```

=====

11.
The following is a GGA-PBEsol calculation of an optimized crystal structure of CsSnI2O, from the Alexandria database.

Results
DOS(E_F): 1.0 states/eV per cell
raw formation energy: 0.15 eV/atom
M_tot: 0.000 μB per formula unit
symmetry: P4/mmm (123)
mass density: 4.57 Mg/m³
final energy: -13.2 eV per cell

Geometry as POSCAR:
```
CsSnI2O
1.0
6.6854 0.0000 0.0000
0.0000 6.6854 0.0000
0.0000 0.0000 4.2363
Cs Sn I O
1 1 2 1
Direct
0.0000 0.0000 0.0000
0.5000 0.5000 0.5000
0.0000 0.5000 0.0000
0.5000 0.0000 0.0000
0.0000 0.0000 0.5000
```

=====

12.
The following is a GGA-PBEsol calculation of an optimized crystal structure of Be3Pt, from the Alexandria database.

Results
DOS(E_F): 1.1 states/eV per cell
energy relative to the elements: -0.2574 eV per atom
M_tot: 0.000 μB per formula unit
symmetry: P2/m (10)
mass density: 9.08 Mg/m³
final energy: -20.0 eV per cell

Geometry as POSCAR:
```
Be3Pt
1.0
2.5822 0.0000 0.0000
0.0000 3.6392 0.0000
-0.9259 0.0000 4.3235
Be Pt
3 1
Direct
0.0000 0.0000 0.0000
0.1530 0.5000 0.7612
0.8470 0.5000 0.2388
0.5000 0.0000 0.5000
```